Here is KNdHgSe3 after structural relaxation from OQMD via LeMat-Bulk. Energies are from PBE.

Summary:
Size of the total moment ... 0.01 μB/cell
Final energy ... -3.981 eV/atom

Cell: 11.4033 4.3513 15.0742 Å, 90.00 90.00 90.00°
Fractional coordinates of all 24 atoms:
1 K 0.7259 0.7500 0.4994
2 K 0.7741 0.2500 0.9994
3 K 0.2259 0.7500 0.0006
4 K 0.2741 0.2500 0.5006
5 Se 0.4650 0.7500 0.6243
6 Se 0.7630 0.2500 0.6748
7 Se 0.2370 0.7500 0.3252
8 Se 0.7370 0.7500 0.1748
9 Se 0.5720 0.7500 0.8868
10 Se 0.4280 0.2500 0.1132
11 Se 0.9280 0.2500 0.3868
12 Se 0.9650 0.7500 0.8757
13 Se 0.0350 0.2500 0.1243
14 Se 0.0720 0.7500 0.6132
15 Se 0.2630 0.2500 0.8252
16 Se 0.5350 0.2500 0.3757
17 Nd 0.0146 0.2500 0.7433
18 Nd 0.9854 0.7500 0.2567
19 Nd 0.4854 0.7500 0.2433
20 Nd 0.5146 0.2500 0.7567
21 Hg 0.2635 0.7500 0.7116
22 Hg 0.2365 0.2500 0.2116
23 Hg 0.7635 0.7500 0.7884
24 Hg 0.7365 0.2500 0.2884